1.
Below is a relaxed structure of La4DyTl2, with properties calculated at the PBE level.

POSCAR file:
```
La4DyTl2
1.0
5.6781 0.0000 0.0000
2.8390 4.9173 0.0000
2.8390 1.6391 9.1982
Tl La Dy
2 4 1
Direct
0.6105 0.6105 0.1685
0.3895 0.3895 0.8315
0.8702 0.8702 0.3893
0.2712 0.2712 0.1865
0.7288 0.7288 0.8135
0.1298 0.1298 0.6107
0.5000 0.5000 0.5000
```

Computed properties:
Its space group is No. 166.



2.
Below is a relaxed structure of La4DyTl2, with properties calculated at the PBE level.

POSCAR file:
```
La4DyTl2
1.0
-4.2634 1.8436 4.3832
2.8685 -5.5768 1.2031
4.7376 3.5155 2.4215
Tl La Dy
2 4 1
Direct
0.5689 0.5689 0.2659
0.4311 0.4311 0.7341
0.0000 0.5000 0.0000
0.1995 0.8008 0.4999
0.5000 0.0000 0.0000
0.8005 0.1992 0.5001
0.0000 0.0000 0.0000
```

Computed properties:
Its space group is No. 12.



Which is the most stable structure? 1 is the most stable.



1.
Below is a relaxed structure of LaDyTl, with properties calculated at the PBE level.

POSCAR file:
```
LaDyTl
1.0
3.4233 0.0000 0.0000
0.0000 3.4233 0.0000
-1.7117 -1.7117 9.2694
La Dy Tl
1 1 1
Direct
0.7966 0.7966 0.5931
0.4399 0.4399 0.8799
0.6135 0.6135 0.2270
```

Computed properties:
Its space group is No. 107.



2.
Below is a relaxed structure of LaDyTl, with properties calculated at the PBE level.

POSCAR file:
```
LaDyTl
1.0
0.3108 4.6266 -3.0405
-2.6738 -4.4380 -1.9753
-5.8129 2.2457 2.8229
La Dy Tl
2 2 2
Direct
0.4324 0.4324 0.0000
0.4324 0.4324 0.5000
0.7658 0.0988 0.7500
0.0988 0.7658 0.2500
0.0991 0.7655 0.7500
0.7655 0.0991 0.2500
```

Computed properties:
Its space group is No. 194.



Which is the most stable structure? 2 is the most stable.



1.
Below is a relaxed structure of La6DyTl2, with properties calculated at the PBE level.

POSCAR file:
```
La6DyTl2
1.0
6.0589 -0.0953 -0.0923
1.4752 9.9732 1.2666
1.4752 1.5891 9.9269
La Dy Tl
12 2 4
Direct
0.1969 0.0081 0.2224
0.0448 0.5580 0.3296
0.1619 0.3603 0.1178
0.6619 0.1178 0.3603
0.4552 0.6704 0.4420
0.8381 0.6397 0.8822
0.8031 0.9919 0.7776
0.3031 0.7776 0.9919
0.9552 0.4420 0.6704
0.3381 0.8822 0.6397
0.6969 0.2224 0.0081
0.5448 0.3296 0.5580
0.2500 0.1485 0.8515
0.7500 0.8515 0.1485
0.1059 0.2057 0.4834
0.6059 0.4834 0.2057
0.3941 0.5166 0.7943
0.8941 0.7943 0.5166
```

Computed properties:
Its space group is No. 15.



2.
Below is a relaxed structure of La6DyTl2, with properties calculated at the PBE level.

POSCAR file:
```
La6DyTl2
1.0
0.3043 0.9086 3.7752
6.0177 -2.7729 2.1915
8.4238 8.8824 -0.8074
La Dy Tl
6 1 2
Direct
0.6945 0.2078 0.4033
0.3055 0.7922 0.5967
0.0224 0.2983 0.6570
0.9776 0.7017 0.3430
0.3234 0.4769 0.8763
0.6766 0.5231 0.1237
0.0000 0.0000 0.0000
0.6379 0.9113 0.8129
0.3621 0.0887 0.1871
```

Computed properties:
Its space group is No. 12.



Which is the most stable structure? 2 is the most stable.



1.
Below is a relaxed structure of La8Dy3Tm2, with properties calculated at the PBE level.

POSCAR file:
```
La8Dy3Tm2
1.0
-5.2651 -1.3479 -2.1485
0.2052 -6.7933 3.7592
-4.5243 7.7542 6.2363
La Dy Tm
8 3 2
Direct
0.4998 0.1939 0.7878
0.9990 0.3243 0.6486
0.0006 0.8693 0.7386
0.0010 0.6757 0.3514
0.5002 0.4061 0.2122
0.4998 0.5939 0.7878
0.9994 0.1307 0.2614
0.5002 0.8061 0.2122
0.0000 0.2839 0.0000
0.5000 0.0000 0.0000
0.0000 0.7161 0.0000
0.4988 0.2393 0.4785
0.5012 0.7607 0.5215
```

Computed properties:
Its space group is No. 12.



2.
Below is a relaxed structure of La8Dy3Tm2, with properties calculated at the PBE level.

POSCAR file:
```
La8Dy3Tm2
1.0
6.0843 0.7252 0.4146
-0.8254 10.2447 -5.8086
2.2684 -1.7769 8.5410
La Dy Tm
8 3 2
Direct
0.6487 0.6002 0.6768
0.8877 0.1392 0.2784
0.3513 0.3998 0.3232
0.2654 0.5858 0.1716
0.7346 0.4142 0.8284
0.6487 0.0766 0.6768
0.3513 0.9234 0.3232
0.1123 0.8608 0.7216
0.0000 0.2745 0.0000
0.5000 0.0000 0.0000
0.0000 0.7255 0.0000
0.3177 0.3137 0.6273
0.6823 0.6863 0.3727
```

Computed properties:
Its space group is No. 12.



Which is the most stable structure? 2 is the most stable.



1.
Below is a relaxed structure of La4Dy2Tm, with properties calculated at the PBE level.

POSCAR file:
```
La4Dy2Tm
1.0
6.2890 0.0000 -0.2790
0.0000 6.7515 0.0000
-2.3853 0.0000 11.4706
La Tm Dy
8 2 4
Direct
0.3567 0.0134 0.7170
0.1509 0.7500 0.4523
0.0475 0.7500 0.8664
0.6433 0.5134 0.2830
0.3567 0.4866 0.7170
0.8491 0.2500 0.5477
0.9525 0.2500 0.1336
0.6433 0.9866 0.2830
0.8503 0.2500 0.8379
0.1497 0.7500 0.1621
0.6119 0.7500 0.9950
0.2912 0.2500 0.4225
0.3881 0.2500 0.0050
0.7088 0.7500 0.5775
```

Computed properties:
Its space group is No. 11.



2.
Below is a relaxed structure of La4Dy2Tm, with properties calculated at the PBE level.

POSCAR file:
```
La4Dy2Tm
1.0
12.2470 -3.1507 -1.5670
-9.6000 8.2314 -1.5670
0.0179 0.0344 6.8697
La Tm Dy
8 2 4
Direct
0.1699 0.7078 0.3578
0.1465 0.0388 0.0971
0.5629 0.6012 0.1440
0.6012 0.5629 0.6440
0.7078 0.1699 0.8578
0.7982 0.1901 0.4029
0.0388 0.1465 0.5971
0.1901 0.7982 0.9029
0.6666 0.4166 0.0001
0.4166 0.6666 0.5001
0.1038 0.9199 0.5421
0.6276 0.3113 0.4575
0.9199 0.1038 0.0421
0.3113 0.6276 0.9575
```

Computed properties:
Its space group is No. 9.



Which is the most stable structure? 2 is the most stable.



1.
Below is a relaxed structure of La3Dy2Tm4, with properties calculated at the PBE level.

POSCAR file:
```
La3Dy2Tm4
1.0
-1.8032 1.0491 2.7993
-4.7068 -8.6696 0.2172
8.4314 1.1628 4.9957
Tm La Dy
4 3 2
Direct
0.0003 0.8333 0.3331
0.0003 0.4998 0.3331
0.9997 0.1667 0.6669
0.9997 0.5002 0.6669
0.5000 0.8311 0.6622
0.5000 0.5000 0.0000
0.5000 0.1689 0.3378
0.0000 0.1663 0.0000
0.0000 0.8337 0.0000
```

Computed properties:
Its space group is No. 65.



2.
Below is a relaxed structure of La3Dy2Tm4, with properties calculated at the PBE level.

POSCAR file:
```
La3Dy2Tm4
1.0
-4.5717 2.4401 3.1469
-3.5860 -5.9588 8.8122
2.6386 3.9506 10.1711
La Tm Dy
6 8 4
Direct
0.7537 0.0493 0.2822
0.2537 0.2822 0.0493
0.2463 0.9507 0.7178
0.7500 0.3833 0.6167
0.2500 0.6167 0.3833
0.7463 0.7178 0.9507
0.0828 0.1507 0.4073
0.4172 0.5927 0.8493
0.9243 0.1788 0.9262
0.0757 0.8212 0.0738
0.5757 0.0738 0.8212
0.5828 0.4073 0.1507
0.4243 0.9262 0.1788
0.9172 0.8493 0.5927
0.0731 0.4884 0.7426
0.4269 0.2574 0.5116
0.9269 0.5116 0.2574
0.5731 0.7426 0.4884
```

Computed properties:
Its space group is No. 15.



Which is the most stable structure? 1 is the most stable.